1.
This record from the Alexandria database describes a geometry-optimized ErTm4Tl2 structure. The functional is PBE.

Cell lengths 10.7141, 6.7601, 6.6902 Å; angles 120.35, 90.00, 90.00 degrees
With the nearest neighbours (Å) after each atom.
Atoms (fractional coordinates):
Tl1 0.0000 0.7229 0.4458  6 Tm 3.15-3.18, 1 Er 3.20, 2 Tl 3.44
Tl2 0.0000 0.2771 0.5542  6 Tm 3.15-3.18, 1 Er 3.20, 2 Tl 3.44
Tl3 0.5000 0.7771 0.5542  6 Tm 3.15-3.18, 1 Er 3.20, 2 Tl 3.44
Tl4 0.5000 0.2229 0.4458  6 Tm 3.15-3.18, 1 Er 3.20, 2 Tl 3.44
Tm1 0.8303 0.5000 0.0000  2 Tl 3.15, 4 Tm 3.45
Tm2 0.7500 0.5001 0.5000  4 Tl 3.18, 6 Tm 3.38-3.45
Tm3 0.7500 0.0001 0.5000  4 Tl 3.18, 6 Tm 3.38-3.45
Tm4 0.6697 0.0000 0.0000  2 Tl 3.15, 4 Tm 3.45
Tm5 0.3303 0.0000 0.0000  2 Tl 3.15, 4 Tm 3.45
Tm6 0.2500 0.9999 0.5000  4 Tl 3.18, 6 Tm 3.38-3.45
Tm7 0.2500 0.4999 0.5000  4 Tl 3.18, 6 Tm 3.38-3.45
Tm8 0.1697 0.5000 0.0000  2 Tl 3.15, 4 Tm 3.45
Er1 0.0000 0.0000 0.0000  2 Tl 3.20, 2 Tm 3.54
Er2 0.5000 0.5000 0.0000  2 Tl 3.20, 2 Tm 3.54

Properties
ρ ... 9.9 g cm⁻³
Energy relative to the lowest polymorph listed for this composition ... 0 meV/atom
Density of states at the Fermi level ... 1.483 states/eV/atom
E_form ... -0.026 eV/atom
M_tot ... 0.000 μB per atom



2.
This record from the Alexandria database describes a geometry-optimized MgZnCdAs structure. The functional is PBE.

Cell lengths 4.8746, 4.8746, 4.8746 Å; angles 60.00, 60.00, 60.00 degrees
With the nearest neighbours (Å) after each atom.
Atoms (fractional coordinates):
Mg1 0.7500 0.7500 0.7500  4 As 2.99, 4 Zn 2.99
As1 0.5000 0.5000 0.5000  4 Cd 2.99, 4 Mg 2.99
Zn1 0.0000 0.0000 0.0000  4 Cd 2.99, 4 Mg 2.99
Cd1 0.2500 0.2500 0.2500  4 As 2.99, 4 Zn 2.99

Properties
ρ ... 5.6 g cm⁻³
Density of states at the Fermi level ... 0.553 states/eV/atom
E_form ... 0.022 eV/atom
M_tot ... 0.000 μB per atom



3.
This record from the Alexandria database describes a geometry-optimized SrLiSmPb structure. The functional is PBE.

Cell lengths 5.5778, 5.5778, 5.5778 Å; angles 60.00, 60.00, 60.00 degrees
With the nearest neighbours (Å) after each atom.
Atoms (fractional coordinates):
Pb1 0.5000 0.5000 0.5000  4 Sm 3.42, 4 Sr 3.42
Sr1 0.2500 0.2500 0.2500  4 Pb 3.42, 4 Li 3.42
Sm1 0.7500 0.7500 0.7500  4 Li 3.42, 4 Pb 3.42
Li1 0.0000 0.0000 0.0000  4 Sr 3.42, 4 Sm 3.42

Properties
ρ ... 6.1 g cm⁻³
Density of states at the Fermi level ... 0.604 states/eV/atom
E_form ... -0.283 eV/atom
M_tot ... 0.000 μB per atom



4.
This record from the Alexandria database describes a geometry-optimized ZrMo2Ru structure. The functional is PBE.

Cell lengths 5.2957, 5.2957, 5.2957 Å; angles 144.75, 127.84, 64.53 degrees
With the nearest neighbours (Å) after each atom.
Atoms (fractional coordinates):
Mo1 0.9881 0.9881 0.0000  2 Mo 2.64, 4 Ru 2.83, 2 Zr 2.85
Mo2 0.7543 0.2543 0.5000  2 Mo 2.64, 2 Ru 2.73, 4 Zr 2.83
Ru1 0.5070 0.5070 0.0000  6 Mo 2.73-2.83, 2 Zr 2.80
Zr1 0.2506 0.7506 0.5000  2 Ru 2.80, 6 Mo 2.83-2.85

Properties
ρ ... 9.5 g cm⁻³
Energy relative to the lowest polymorph listed for this composition ... 115 meV/atom
Density of states at the Fermi level ... 0.881 states/eV/atom
E_form ... -0.020 eV/atom
M_tot ... 0.000 μB per atom



5.
This record from the Alexandria database describes a geometry-optimized Tl2ZnNi structure. The functional is PBE.

Cell lengths 4.9467, 4.9467, 4.9467 Å; angles 60.00, 60.00, 60.00 degrees
With the nearest neighbours (Å) after each atom.
Atoms (fractional coordinates):
Ni1 0.5000 0.5000 0.5000  4 Tl 3.03, 4 Zn 3.03
Tl1 0.0000 0.0000 0.0000  4 Tl 3.03, 4 Zn 3.03
Tl2 0.2500 0.2500 0.2500  4 Tl 3.03, 4 Ni 3.03
Zn1 0.7500 0.7500 0.7500  4 Tl 3.03, 4 Ni 3.03

Properties
ρ ... 10.3 g cm⁻³
Energy relative to the lowest polymorph listed for this composition ... 328 meV/atom
Density of states at the Fermi level ... 0.947 states/eV/atom
E_form ... 0.461 eV/atom
M_tot ... 0.000 μB per atom



6.
This record from the Alexandria database describes a geometry-optimized NdReSi3 structure. The functional is PBE.

Cell lengths 4.2918, 4.2918, 5.8832 Å; angles 111.39, 111.39, 90.00 degrees
With the nearest neighbours (Å) after each atom.
Atoms (fractional coordinates):
Nd1 0.9970 0.9970 0.9940  12 Si 3.13-3.41, 5 Re 3.42-3.46
Re1 0.6541 0.6541 0.3082  5 Si 2.37-2.40
Si1 0.2599 0.7599 0.5198  2 Re 2.40, 2 Si 2.68
Si2 0.7599 0.2599 0.5198  2 Re 2.40, 2 Si 2.68
Si3 0.4193 0.4193 0.8386  1 Re 2.37

Properties
ρ ... 7.4 g cm⁻³
Formation energy from raw total energies ... -0.429 eV/atom
Density of states at the Fermi level ... 0.396 states/eV/atom
M_tot ... 0.000 μB per atom



7.
This record from the Alexandria database describes a geometry-optimized CaPmAgHg structure. The functional is PBE.

Cell lengths 5.3033, 5.3033, 5.3033 Å; angles 60.00, 60.00, 60.00 degrees
With the nearest neighbours (Å) after each atom.
Atoms (fractional coordinates):
Ca1 0.5000 0.5000 0.5000  4 Ag 3.25, 4 Hg 3.25
Hg1 0.7500 0.7500 0.7500  4 Pm 3.25, 4 Ca 3.25
Ag1 0.2500 0.2500 0.2500  4 Pm 3.25, 4 Ca 3.25
Pm1 0.0000 0.0000 0.0000  4 Hg 3.25, 4 Ag 3.25

Properties
ρ ... 7.8 g cm⁻³
Density of states at the Fermi level ... 0.827 states/eV/atom
E_form ... -0.414 eV/atom
M_tot ... 0.000 μB per atom



8.
This record from the Alexandria database describes a geometry-optimized RbNbS2 structure. The functional is PBE.

Cell lengths 6.8146, 6.8146, 7.4068 Å; angles 62.61, 62.61, 90.00 degrees
With the nearest neighbours (Å) after each atom.
Atoms (fractional coordinates):
Nb1 0.0000 0.0000 0.0000  4 S 2.36
Nb2 0.7500 0.2500 0.5000  4 S 2.36
S1 0.7552 0.1250 0.2500  2 Nb 2.36
S2 0.9948 0.6250 0.2500  2 Nb 2.36
S3 0.3750 0.2448 0.7500  2 Nb 2.36
S4 0.8750 0.0052 0.7500  2 Nb 2.36
Rb1 0.5000 0.5000 0.0000  4 S 3.40
Rb2 0.2500 0.7500 0.5000  4 S 3.40

Properties
ρ ... 3.1 g cm⁻³
Formation energy from raw total energies ... -0.814 eV/atom
Density of states at the Fermi level ... 0.798 states/eV/atom
M_tot ... 0.000 μB per atom